# Tc2AgRu

A relaxed structure of Tc2AgRu (GGA-PBEsol, Alexandria via LeMat-Bulk).

Cell lengths 4.3473, 4.3473, 4.3473 Å; angles 60.00, 60.00, 60.00 degrees
Closest atoms and distances in Å follow each position.
Fractional coordinates of all 4 atoms:
Tc 0.2500 0.2500 0.2500  4 Ru 2.66, 4 Ag 2.66
Tc 0.7500 0.7500 0.7500  4 Ru 2.66, 4 Ag 2.66
Ru 0.5000 0.5000 0.5000  8 Tc 2.66
Ag 0.0000 0.0000 0.0000  8 Tc 2.66

Properties
Magnetic moment   0.0 μB per cell
Calculated formation energy   289 kJ/mol of formula units
Space group   No. 225